Computed, not measured: crystalline HfAsO5 at its relaxed geometry at the PBE-GGA level of DFT.

raw formation energy	-1933	meV/atom
space group	C2/c

Cell lengths 5.546, 5.546, 8.034 Å; angles 108.57, 108.57, 92.24 degrees
Atoms (fractional coordinates):
1 Hf 0.000 0.000 0.000
2 Hf 0.000 0.000 0.500
3 As 0.365 0.635 0.750
4 As 0.635 0.365 0.250
5 O 0.068 0.932 0.250
6 O 0.245 0.746 0.570
7 O 0.254 0.755 0.930
8 O 0.294 0.304 0.666
9 O 0.304 0.294 0.166
10 O 0.696 0.706 0.834
11 O 0.706 0.696 0.334
12 O 0.746 0.245 0.070
13 O 0.755 0.254 0.430
14 O 0.932 0.068 0.750